# 1
# PBE PmSb3Au3, relaxed
data_PmSb3Au3
_cell_length_a 7.5356
_cell_length_b 7.5356
_cell_length_c 7.5356
_cell_angle_alpha 90.00
_cell_angle_beta 90.00
_cell_angle_gamma 90.00
_symmetry_space_group_name_H-M 'P m -3 n'
_symmetry_Int_Tables_number 223
_symmetry_space_group_name_Hall '-P 4n 2 3'
loop_
_atom_site_label
_atom_site_type_symbol
_atom_site_fract_x
_atom_site_fract_y
_atom_site_fract_z
_atom_site_occupancy
Pm1 Pm 0.0000 0.0000 0.0000 1
Sb1 Sb 0.0000 0.2500 0.5000 1
Au1 Au 0.0000 0.5000 0.2500 1
# - DFT total energy: -3.805 eV/atom
# - Uncorrected formation energy: 4.38 kJ/mol of atoms
# - D(E_F): 0.309 states/eV/atom
# - Size of the total moment: 0.000 μB per formula unit

***

# 2
# PBE PmSb3Au8, relaxed
data_PmSb3Au8
_cell_length_a 5.6266
_cell_length_b 5.6314
_cell_length_c 9.8456
_cell_angle_alpha 73.96
_cell_angle_beta 74.00
_cell_angle_gamma 60.46
_symmetry_space_group_name_H-M 'P 1'
_symmetry_Int_Tables_number 1
_symmetry_space_group_name_Hall 'P 1'
loop_
_atom_site_label
_atom_site_type_symbol
_atom_site_fract_x
_atom_site_fract_y
_atom_site_fract_z
_atom_site_occupancy
Pm1 Pm 0.0000 0.0000 0.0000 1
Sb1 Sb 0.1321 0.1311 0.6274 1
Sb2 Sb 0.4969 0.5126 0.4913 1
Sb3 Sb 0.6326 0.6371 0.1026 1
Au1 Au 0.0500 0.5543 0.8172 1
Au2 Au 0.1286 0.5722 0.3128 1
Au3 Au 0.3363 0.3393 0.0557 1
Au4 Au 0.5528 0.0550 0.8200 1
Au5 Au 0.5596 0.9914 0.3115 1
Au6 Au 0.5645 0.5728 0.7688 1
Au7 Au 0.8389 0.8678 0.5514 1
Au8 Au 0.9899 0.1574 0.2884 1
# - DFT total energy: -3.803 eV/atom
# - Uncorrected formation energy: -18.44 kJ/mol of atoms
# - D(E_F): 0.398 states/eV/atom
# - Size of the total moment: 0.000 μB per formula unit

***

# 3
# PBE Pm2SbAu16, relaxed
data_Pm2SbAu16
_cell_length_a 9.7961
_cell_length_b 9.7961
_cell_length_c 14.0715
_cell_angle_alpha 90.00
_cell_angle_beta 90.00
_cell_angle_gamma 120.00
_symmetry_space_group_name_H-M 'R 3 m'
_symmetry_Int_Tables_number 160
_symmetry_space_group_name_Hall 'R 3 -2"'
loop_
_atom_site_label
_atom_site_type_symbol
_atom_site_fract_x
_atom_site_fract_y
_atom_site_fract_z
_atom_site_occupancy
Pm1 Pm 0.0000 0.0000 0.0000 1
Pm2 Pm 0.0000 0.0000 0.3158 1
Sb1 Sb 0.0000 0.0000 0.5677 1
Au1 Au 0.0000 0.0000 0.7678 1
Au2 Au 0.9999 0.3213 0.6745 1
Au3 Au 0.0239 0.5120 0.5171 1
Au4 Au 0.0257 0.5128 0.1721 1
Au5 Au 0.0536 0.5268 0.8317 1
# - DFT total energy: -3.735 eV/atom
# - Uncorrected formation energy: -24.90 kJ/mol of atoms
# - D(E_F): 0.478 states/eV/atom
# - Size of the total moment: 0.000 μB per formula unit

***

# 4
# PBE PmSb2Au2, relaxed
data_PmSb2Au2
_cell_length_a 4.4603
_cell_length_b 24.0239
_cell_length_c 4.4512
_cell_angle_alpha 90.00
_cell_angle_beta 90.00
_cell_angle_gamma 90.00
_symmetry_space_group_name_H-M 'C m c m'
_symmetry_Int_Tables_number 63
_symmetry_space_group_name_Hall '-C 2c 2'
loop_
_atom_site_label
_atom_site_type_symbol
_atom_site_fract_x
_atom_site_fract_y
_atom_site_fract_z
_atom_site_occupancy
Pm1 Pm 0.0000 0.1466 0.2500 1
Sb1 Sb 0.0000 0.2497 0.7500 1
Sb2 Sb 0.0000 0.3840 0.2500 1
Au1 Au 0.0000 0.0409 0.7500 1
Au2 Au 0.0000 0.4596 0.7500 1
# - DFT total energy: -4.458 eV/atom
# - Uncorrected formation energy: -52.90 kJ/mol of atoms
# - D(E_F): 0.364 states/eV/atom
# - Size of the total moment: 0.000 μB per formula unit

***

# 5
# PBE Pm2SbAu3, relaxed
data_Pm2SbAu3
_cell_length_a 3.7121
_cell_length_b 4.6700
_cell_length_c 8.4023
_cell_angle_alpha 90.00
_cell_angle_beta 90.00
_cell_angle_gamma 90.00
_symmetry_space_group_name_H-M 'P m m 2'
_symmetry_Int_Tables_number 25
_symmetry_space_group_name_Hall 'P 2 -2'
loop_
_atom_site_label
_atom_site_type_symbol
_atom_site_fract_x
_atom_site_fract_y
_atom_site_fract_z
_atom_site_occupancy
Pm1 Pm 0.0000 0.0000 0.0000 1
Pm2 Pm 0.0000 0.5000 0.4656 1
Sb1 Sb 0.5000 0.5000 0.8154 1
Au1 Au 0.5000 0.0000 0.3170 1
Au2 Au 0.5000 0.0000 0.6431 1
Au3 Au 0.5000 0.5000 0.1470 1
# - DFT total energy: -4.702 eV/atom
# - Uncorrected formation energy: -76.53 kJ/mol of atoms
# - D(E_F): 0.466 states/eV/atom
# - Size of the total moment: 0.000 μB per formula unit

***

# 6
# PBE PmSbAu6, relaxed
data_PmSbAu6
_cell_length_a 5.5327
_cell_length_b 5.5327
_cell_length_c 5.5327
_cell_angle_alpha 90.00
_cell_angle_beta 90.00
_cell_angle_gamma 90.00
_symmetry_space_group_name_H-M 'P m -3'
_symmetry_Int_Tables_number 200
_symmetry_space_group_name_Hall '-P 2 2 3'
loop_
_atom_site_label
_atom_site_type_symbol
_atom_site_fract_x
_atom_site_fract_y
_atom_site_fract_z
_atom_site_occupancy
Pm1 Pm 0.0000 0.0000 0.0000 1
Sb1 Sb 0.5000 0.5000 0.5000 1
Au1 Au 0.0000 0.2500 0.5000 1
# - DFT total energy: -3.823 eV/atom
# - Uncorrected formation energy: -24.69 kJ/mol of atoms
# - D(E_F): 0.256 states/eV/atom
# - Size of the total moment: 0.000 μB per formula unit